15
Lattice="7.875 0.000 0.000 3.937 6.820 0.000 3.937 2.273 5.412" Properties=species:S:1:pos:R:3 comment="PBE Li8TlAu6, relaxed" energy_ev_per_atom=-2.860 formation_enthalpy_0k_kj_per_mol_atoms=-36 pbc="T T T"
Li 6.637 2.212 1.878
Li 9.277 2.307 3.535
Li 5.234 4.452 3.535
Li 7.875 4.547 0.032
Li 7.875 4.547 5.380
Li 10.515 4.641 1.878
Li 6.472 6.786 1.878
Li 9.113 6.881 3.535
Tl 0.000 0.000 0.000
Au 6.741 2.253 4.516
Au 9.294 2.418 0.897
Au 5.322 4.382 0.897
Au 10.428 4.711 4.516
Au 6.456 6.675 4.516
Au 9.009 6.840 0.897